Record 1
Nd2Ge4Ir (PBE, optimized geometry); space group = Cmmm
1.0
4.211 -5.865 0.000
4.211 5.865 0.000
0.000 0.000 4.155
Nd Ge Ir
2 4 1
direct
0.000 0.500 0.000
0.500 0.000 0.000
0.178 0.178 0.000
0.216 0.784 0.500
0.784 0.216 0.500
0.822 0.822 0.000
0.000 0.000 0.500

***

Record 2
ZrFeSbOs (PBE, optimized geometry); space group = F-43m
1.0
0.000 3.209 3.209
3.209 0.000 3.209
3.209 3.209 0.000
Zr Fe Sb Os
1 1 1 1
direct
0.000 0.000 0.000
0.750 0.750 0.750
0.500 0.500 0.500
0.250 0.250 0.250

***

Record 3
MgZnSO (PBE, optimized geometry); space group = Pnma
1.0
5.669 0.000 0.000
0.000 3.454 0.000
0.000 0.000 12.520
Mg Zn S O
4 4 4 4
direct
0.118 0.250 0.184
0.382 0.750 0.684
0.618 0.250 0.316
0.882 0.750 0.816
0.186 0.750 0.411
0.314 0.250 0.911
0.686 0.750 0.089
0.814 0.250 0.589
0.228 0.250 0.568
0.272 0.750 0.068
0.728 0.250 0.932
0.772 0.750 0.432
0.226 0.750 0.823
0.274 0.250 0.323
0.726 0.750 0.677
0.774 0.250 0.177

***

Record 4
TlCoB4 (PBE, optimized geometry); space group = Immm
1.0
-1.494 2.696 3.819
1.494 -2.696 3.819
1.494 2.696 -3.819
Tl Co B
1 1 4
direct
0.000 0.000 0.000
0.500 0.500 0.000
0.105 0.765 0.341
0.424 0.765 0.659
0.576 0.235 0.341
0.895 0.235 0.659

***

Record 5
KPaAu (PBE, optimized geometry); space group = F-43m
1.0
0.000 3.513 3.513
3.513 0.000 3.513
3.513 3.513 0.000
K Pa Au
1 1 1
direct
0.000 0.000 0.000
0.750 0.750 0.750
0.500 0.500 0.500

***

Record 6
Rb2TcO3 (PBE, optimized geometry); space group = P321
1.0
6.582 0.000 0.000
-3.291 5.700 0.000
0.000 0.000 7.589
Rb Tc O
4 2 6
direct
0.000 0.000 0.000
0.000 0.000 0.500
0.333 0.667 0.250
0.667 0.333 0.750
0.333 0.667 0.750
0.667 0.333 0.250
0.121 0.760 0.749
0.240 0.361 0.749
0.361 0.240 0.251
0.639 0.879 0.749
0.760 0.121 0.251
0.879 0.639 0.251

***

Record 7
CsNpZnS3 (PBE, optimized geometry); space group = Cmcm
1.0
2.038 -7.746 0.000
2.038 7.746 0.000
0.000 0.000 10.653
Cs Np Zn S
2 2 2 6
direct
0.241 0.759 0.750
0.759 0.241 0.250
0.500 0.500 0.000
0.500 0.500 0.500
0.036 0.964 0.250
0.964 0.036 0.750
0.114 0.886 0.064
0.114 0.886 0.436
0.447 0.553 0.250
0.553 0.447 0.750
0.886 0.114 0.564
0.886 0.114 0.936

***

Record 8
Y2HfZn (PBE, optimized geometry); space group = F-43m; ΔE_f = 0.227 eV per atom
1.0
0.000 3.634 3.634
3.634 0.000 3.634
3.634 3.634 0.000
Y Hf Zn
2 1 1
direct
0.000 0.000 0.000
0.250 0.250 0.250
0.750 0.750 0.750
0.500 0.500 0.500

***

One value per record, in order, for E: -5.357 -8.158 -4.391 -5.306 -3.617 -5.936 -5.758 -5.811 eV/atom.
One value per record, in order, for theoretical density: 6.240 11.529 3.734 8.277 8.948 3.696 5.248 7.298 g/cm3.